Density functional theory data (GGA-PBEsol) for a relaxed structure of InReNi.

For the final energy, the calculation gives -7.255 eV/atom.

The space group is I4mm (No. 107) and the conventional cell measures 2.7968, 2.7968 and 11.3076 Å, with angles of 90.00, 90.00 and 90.00 degrees. Symmetry generates all atoms from In at (0.0000, 0.0000, 0.0000), Re at (0.0000, 0.0000, 0.6913) and Ni at (0.0000, 0.0000, 0.3312).

Density functional theory data (GGA-PBEsol) for a relaxed structure of InReNi2.

For the final energy, the calculation gives -7.020 eV/atom.

The space group is Amm2 (No. 38) and the conventional cell measures 4.0874, 2.6905 and 9.8324 Å, with angles of 90.00, 90.00 and 90.00 degrees. Symmetry generates all atoms from In at (0.0000, 0.0000, 0.0000), Re at (0.5000, 0.0000, 0.6761), Ni at (0.0000, 0.0000, 0.2604) and Ni at (0.5000, 0.0000, 0.4026).

Density functional theory data (GGA-PBEsol) for a relaxed structure of In2ReNi.

The calculation puts the polymorph energy (0 for the lowest one) at 0 kJ/mol of formula units.

The space group is R-3m (No. 166, hexagonal axes) and the conventional cell measures 2.9498, 2.9498 and 25.9073 Å, with angles of 90.00, 90.00 and 120.00 degrees. Symmetry generates all atoms from In at (0.0000, 0.0000, 0.2444), Re at (0.0000, 0.0000, 0.0000) and Ni at (0.0000, 0.0000, 0.5000).

Density functional theory data (GGA-PBEsol) for a relaxed structure of InReNi2.

For the final energy, the calculation gives -6.959 eV/atom.

The space group is P4/mmm (No. 123) and the conventional cell measures 4.4565, 4.4565 and 2.7180 Å, with angles of 90.00, 90.00 and 90.00 degrees. Symmetry generates all atoms from In at (0.0000, 0.0000, 0.0000), Re at (0.5000, 0.5000, 0.0000) and Ni at (0.0000, 0.5000, 0.5000).

Density functional theory data (GGA-PBEsol) for a relaxed structure of In2ReNi.

The calculation puts the polymorph energy (0 for the lowest one) at 6 kJ/mol of formula units.

The space group is Amm2 (No. 38) and the conventional cell measures 4.3193, 3.0097 and 10.3911 Å, with angles of 90.00, 90.00 and 90.00 degrees. Symmetry generates all atoms from In at (0.0000, 0.0000, 0.0000), In at (0.5000, 0.0000, 0.3194), Re at (0.0000, 0.0000, 0.7266) and Ni at (0.5000, 0.0000, 0.5990).

Density functional theory data (GGA-PBEsol) for a relaxed structure of In2ReNi.

The calculation puts the polymorph energy (0 for the lowest one) at 40 kJ/mol of formula units.

The space group is Pmm2 (No. 25) and the conventional cell measures 2.8632, 4.0204 and 5.7641 Å, with angles of 90.00, 90.00 and 90.00 degrees. Symmetry generates all atoms from In at (0.0000, 0.0000, 0.0000), In at (0.5000, 0.5000, 0.3176), Re at (0.5000, 0.5000, 0.7815) and Ni at (0.0000, 0.0000, 0.5403).

Density functional theory data (GGA-PBEsol) for a relaxed structure of Ta2InReNi.

For the final energy, the calculation gives -6.731 eV/atom.

The space group is P4/mmm (No. 123) and the conventional cell measures 4.8725, 4.8725 and 4.7265 Å, with angles of 90.00, 90.00 and 90.00 degrees. Symmetry generates all atoms from Ta at (0.0000, 0.5000, 0.0000), In at (0.0000, 0.0000, 0.0000), Re at (0.0000, 0.0000, 0.5000) and Ni at (0.5000, 0.5000, 0.5000).

Density functional theory data (GGA-PBEsol) for a relaxed structure of In2NiRh.

For the final energy, the calculation gives -5.119 eV/atom.

The space group is P2/m (No. 10) and the conventional cell measures 4.3795, 3.1180 and 5.2244 Å, with angles of 90.00, 112.49 and 90.00 degrees. Symmetry generates all atoms from In at (0.0000, 0.0000, 0.0000), In at (0.0000, 0.5000, 0.5000), Ni at (0.5000, 0.0000, 0.5000) and Rh at (0.5000, 0.5000, 0.0000).

Density functional theory data (GGA-PBEsol) for a relaxed structure of In2NiRh.

For the final energy, the calculation gives -5.118 eV/atom.

The space group is R-3m (No. 166, hexagonal axes) and the conventional cell measures 3.0616, 3.0616 and 24.2328 Å, with angles of 90.00, 90.00 and 120.00 degrees. Symmetry generates all atoms from In at (0.0000, 0.0000, 0.2476), Ni at (0.0000, 0.0000, 0.5000) and Rh at (0.0000, 0.0000, 0.0000).

Density functional theory data (GGA-PBEsol) for a relaxed structure of InNiRu2.

For the final energy, the calculation gives -7.192 eV/atom.

The space group is I-4m2 (No. 119) and the conventional cell measures 3.8880, 3.8880 and 7.4301 Å, with angles of 90.00, 90.00 and 90.00 degrees. Symmetry generates all atoms from In at (0.0000, 0.0000, 0.0000), Ni at (0.0000, 0.5000, 0.2500), Ru at (0.0000, 0.0000, 0.5000) and Ru at (0.0000, 0.5000, 0.7500).

Density functional theory data (GGA-PBEsol) for a relaxed structure of InNi2Ru.

For the final energy, the calculation gives -6.239 eV/atom.

The space group is Amm2 (No. 38) and the conventional cell measures 4.0888, 2.6789 and 9.7399 Å, with angles of 90.00, 90.00 and 90.00 degrees. Symmetry generates all atoms from In at (0.0000, 0.0000, 0.0000), Ni at (0.0000, 0.0000, 0.2590), Ni at (0.5000, 0.0000, 0.3922) and Ru at (0.5000, 0.0000, 0.6695).

Density functional theory data (GGA-PBEsol) for a relaxed structure of InNi2Ru.

For the final energy, the calculation gives -6.244 eV/atom.

The space group is Cm (No. 8) and the conventional cell measures 8.6609, 2.7526 and 4.5917 Å, with angles of 90.00, 102.30 and 90.00 degrees. Symmetry generates all atoms from In at (0.0000, 0.0000, 0.0000), Ni at (0.0047, 0.5000, 0.5094), Ni at (0.2471, 0.0000, 0.7544) and Ru at (0.2611, 0.5000, 0.3095).

Density functional theory data (GGA-PBEsol) for a relaxed structure of InNiSn2Ru.

For the final energy, the calculation gives -3.971 eV/atom.

The space group is P4/mmm (No. 123) and the conventional cell measures 5.3165, 5.3165 and 4.5375 Å, with angles of 90.00, 90.00 and 90.00 degrees. Symmetry generates all atoms from In at (0.0000, 0.0000, 0.0000), Ni at (0.0000, 0.0000, 0.5000), Sn at (0.0000, 0.5000, 0.0000) and Ru at (0.5000, 0.5000, 0.5000).

Density functional theory data (GGA-PBEsol) for a relaxed structure of In2Ni3S2.

The formation energy from raw total energies is -0.47 eV/atom.

The space group is R-3m (No. 166, hexagonal axes) and the conventional cell measures 5.3145, 5.3145 and 13.3751 Å, with angles of 90.00, 90.00 and 120.00 degrees. Symmetry generates all atoms from In at (0.0000, 0.0000, 0.0000), In at (0.0000, 0.0000, 0.5000), Ni at (0.0000, 0.5000, 0.0000) and S at (0.0000, 0.0000, 0.2212).

Density functional theory data (GGA-PBEsol) for a relaxed structure of In3NiS.

The formation energy from raw total energies is -0.05 eV/atom.

The space group is Pm-3m (No. 221) and the conventional cell measures 4.8506, 4.8506 and 4.8506 Å, with angles of 90.00, 90.00 and 90.00 degrees. Symmetry generates all atoms from In at (0.0000, 0.0000, 0.5000), Ni at (0.0000, 0.0000, 0.0000) and S at (0.5000, 0.5000, 0.5000).

Density functional theory data (GGA-PBEsol) for a relaxed structure of In2NiS4.

The formation energy from raw total energies is -0.46 eV/atom.

The space group is Imma (No. 74) and the conventional cell measures 7.2995, 7.5735 and 10.1484 Å, with angles of 90.00, 90.00 and 90.00 degrees. Symmetry generates all atoms from In at (0.0000, 0.0000, 0.0000), In at (0.0000, 0.2500, 0.3603), Ni at (0.2500, 0.2500, 0.7500), S at (0.0000, 0.0493, 0.7486) and S at (0.2409, 0.2500, 0.9765).

Density functional theory data (GGA-PBEsol) for a relaxed structure of ScInNi2S.

The formation energy from raw total energies is 0.01 eV/atom.

The space group is P4/mmm (No. 123) and the conventional cell measures 4.1115, 4.1115 and 5.3494 Å, with angles of 90.00, 90.00 and 90.00 degrees. Symmetry generates all atoms from Sc at (0.0000, 0.0000, 0.0000), In at (0.5000, 0.5000, 0.0000), Ni at (0.0000, 0.5000, 0.5000) and S at (0.5000, 0.5000, 0.5000).

Density functional theory data (GGA-PBEsol) for a relaxed structure of In2NiWS.

The formation energy from raw total energies is 1.08 eV/atom.

The space group is P4/mmm (No. 123) and the conventional cell measures 5.1278, 5.1278 and 3.8978 Å, with angles of 90.00, 90.00 and 90.00 degrees. Symmetry generates all atoms from In at (0.0000, 0.5000, 0.0000), Ni at (0.0000, 0.0000, 0.5000), W at (0.5000, 0.5000, 0.5000) and S at (0.0000, 0.0000, 0.0000).

Density functional theory data (GGA-PBEsol) for a relaxed structure of InNi2Sb.

The formation energy from raw total energies is 0.06 eV/atom.

The space group is C2/m (No. 12) and the conventional cell measures 7.7703, 3.2540 and 5.3571 Å, with angles of 90.00, 102.98 and 90.00 degrees. Symmetry generates all atoms from In at (0.0000, 0.0000, 0.0000), Ni at (0.2471, 0.0000, 0.7285) and Sb at (0.0000, 0.5000, 0.5000).

Density functional theory data (GGA-PBEsol) for a relaxed structure of InNiSb.

The formation energy from raw total energies is -0.01 eV/atom.

The space group is I4mm (No. 107) and the conventional cell measures 3.0997, 3.0997 and 12.1633 Å, with angles of 90.00, 90.00 and 90.00 degrees. Symmetry generates all atoms from In at (0.0000, 0.0000, 0.0000), Ni at (0.0000, 0.0000, 0.6408) and Sb at (0.0000, 0.0000, 0.2658).